# 1
## LaPmSnSb (PBE)

Data for a geometry-optimized LaPmSnSb structure.

Space group ... No. 216
Uncorrected formation energy ... -734 meV/atom

abc: 5.547 5.547 5.547
angles: 60.00 60.00 60.00
Fractional coordinates of all 4 atoms:
La  0.000  0.000  0.000
Pm  0.500  0.500  0.500
Sn  0.250  0.250  0.250
Sb  0.750  0.750  0.750

=====

# 2
## NiTe5 (PBE)

Data for a geometry-optimized NiTe5 structure.

Space group ... No. 191
Uncorrected formation energy ... 795 meV/atom

abc: 5.800 5.800 6.702
angles: 90.00 90.00 120.00
Fractional coordinates of all 6 atoms:
Ni  0.000  0.000  0.000
Te  0.000  0.500  0.500
Te  0.333  0.667  0.000
Te  0.500  0.000  0.500
Te  0.500  0.500  0.500
Te  0.667  0.333  0.000

=====

# 3
## KYRu2 (PBE)

Data for a geometry-optimized KYRu2 structure.

Space group ... No. 225
ΔH_f (0 K) ... 3.92 eV per formula unit

abc: 4.906 4.906 4.906
angles: 60.00 60.00 60.00
Fractional coordinates of all 4 atoms:
K  0.000  0.000  0.000
Y  0.500  0.500  0.500
Ru  0.250  0.250  0.250
Ru  0.750  0.750  0.750

=====

Copy entry 3 word for word.
## KYRu2 (PBE)

Data for a geometry-optimized KYRu2 structure.

Space group ... No. 225
ΔH_f (0 K) ... 3.92 eV per formula unit

abc: 4.906 4.906 4.906
angles: 60.00 60.00 60.00
Fractional coordinates of all 4 atoms:
K  0.000  0.000  0.000
Y  0.500  0.500  0.500
Ru  0.250  0.250  0.250
Ru  0.750  0.750  0.750